Computed, not measured: MnSb2TeC at its PBEsol-relaxed geometry at the meta-GGA SCAN level of DFT.

Geometry as CIF:
```
data_MnSb2TeC
_cell_length_a 4.744
_cell_length_b 4.650
_cell_length_c 4.650
_cell_angle_alpha 90.00
_cell_angle_beta 90.00
_cell_angle_gamma 90.00
_symmetry_space_group_name_H-M 'P 1'
_symmetry_Int_Tables_number 1
_symmetry_space_group_name_Hall 'P 1'
loop_
_atom_site_label
_atom_site_fract_x
_atom_site_fract_y
_atom_site_fract_z
Sb1 0.000 0.000 0.500
Sb2 0.000 0.500 0.000
C1 0.000 0.000 0.000
Te1 0.500 0.000 0.000
Mn1 0.500 0.500 0.500
```

Computed properties:
- formation energy (no corrections) (eV/f.u.) = 5.2
- total magnetization (μB per formula unit) = 3.8


Computed, not measured: LaTcRh2 at its PBEsol-relaxed geometry at the meta-GGA SCAN level of DFT.

Geometry as CIF:
```
data_LaTcRh2
_cell_length_a 2.897
_cell_length_b 4.913
_cell_length_c 4.913
_cell_angle_alpha 108.38
_cell_angle_beta 90.00
_cell_angle_gamma 90.00
_symmetry_space_group_name_H-M 'P 1'
_symmetry_Int_Tables_number 1
_symmetry_space_group_name_Hall 'P 1'
loop_
_atom_site_label
_atom_site_fract_x
_atom_site_fract_y
_atom_site_fract_z
La1 0.500 0.500 0.500
Rh1 0.000 0.500 0.000
Rh2 0.000 0.000 0.500
Tc1 0.500 0.000 0.000
```

Computed properties:
- energy relative to the lowest polymorph listed for this composition (kJ/mol of formula units) = 0.0
- total magnetization (μB per formula unit) = 0.0
- energy of formation from the pure elements (eV per atom) = 0.011


Computed, not measured: Mg3MnGe at its PBEsol-relaxed geometry at the meta-GGA SCAN level of DFT.

Geometry as CIF:
```
data_Mg3MnGe
_cell_length_a 4.981
_cell_length_b 4.981
_cell_length_c 4.981
_cell_angle_alpha 90.00
_cell_angle_beta 90.00
_cell_angle_gamma 90.00
_symmetry_space_group_name_H-M 'P 1'
_symmetry_Int_Tables_number 1
_symmetry_space_group_name_Hall 'P 1'
loop_
_atom_site_label
_atom_site_fract_x
_atom_site_fract_y
_atom_site_fract_z
Ge1 0.000 0.000 0.000
Mn1 0.500 0.500 0.500
Mg1 0.000 0.500 0.000
Mg2 0.000 0.000 0.500
Mg3 0.500 0.000 0.000
```

Computed properties:
- total magnetization (μB per formula unit) = 4.8
- energy of formation from the pure elements (eV per atom) = 0.355


Computed, not measured: BaHgSe2 at its PBEsol-relaxed geometry at the meta-GGA SCAN level of DFT.

Geometry as CIF:
```
data_BaHgSe2
_cell_length_a 4.374
_cell_length_b 7.531
_cell_length_c 7.531
_cell_angle_alpha 99.64
_cell_angle_beta 90.00
_cell_angle_gamma 90.00
_symmetry_space_group_name_H-M 'P 1'
_symmetry_Int_Tables_number 1
_symmetry_space_group_name_Hall 'P 1'
loop_
_atom_site_label
_atom_site_fract_x
_atom_site_fract_y
_atom_site_fract_z
Hg1 0.500 0.615 0.615
Hg2 0.500 0.024 0.024
Se1 0.000 0.871 0.871
Se2 0.500 0.289 0.289
Se3 0.500 0.385 0.817
Se4 0.500 0.817 0.385
Ba1 0.000 0.548 0.128
Ba2 0.000 0.128 0.548
```

Computed properties:
- formation energy (no corrections) (eV/f.u.) = -5.2
- total magnetization (μB per formula unit) = 0.0


Computed, not measured: TcPRh2 at its PBEsol-relaxed geometry at the meta-GGA SCAN level of DFT.

Geometry as CIF:
```
data_TcPRh2
_cell_length_a 2.745
_cell_length_b 2.745
_cell_length_c 8.228
_cell_angle_alpha 80.40
_cell_angle_beta 80.40
_cell_angle_gamma 60.00
_symmetry_space_group_name_H-M 'P 1'
_symmetry_Int_Tables_number 1
_symmetry_space_group_name_Hall 'P 1'
loop_
_atom_site_label
_atom_site_fract_x
_atom_site_fract_y
_atom_site_fract_z
P1 0.000 0.000 0.000
Rh1 0.258 0.258 0.226
Rh2 0.742 0.742 0.774
Tc1 0.500 0.500 0.500
```

Computed properties:
- total magnetization (μB per formula unit) = 0.0
- energy of formation from the pure elements (eV per atom) = -0.180


Computed, not measured: FeCo2 at its PBEsol-relaxed geometry at the meta-GGA SCAN level of DFT.

Geometry as CIF:
```
data_FeCo2
_cell_length_a 2.452
_cell_length_b 2.452
_cell_length_c 5.586
_cell_angle_alpha 102.68
_cell_angle_beta 102.68
_cell_angle_gamma 90.00
_symmetry_space_group_name_H-M 'P 1'
_symmetry_Int_Tables_number 1
_symmetry_space_group_name_Hall 'P 1'
loop_
_atom_site_label
_atom_site_fract_x
_atom_site_fract_y
_atom_site_fract_z
Co1 0.672 0.672 0.343
Co2 0.328 0.328 0.657
Fe1 0.000 0.000 0.000
```

Computed properties:
- total magnetization (μB per formula unit) = 6.2
- energy of formation from the pure elements (eV per atom) = -0.008